Entry 1:
First-principles (PBE-GGA) data for an optimized crystal structure of BaW3, as listed in Alexandria via LeMat-Bulk.

Cell: 4.2957 2.9239 7.4676 Å, 90.64 90.00 90.00°
Last column: nearest neighbours and their distance in Å.
Fractional coordinates of all 4 atoms:
Ba: 0.0000 0.0000 0.0000  2 Ba 2.92
W: 0.5000 0.8701 0.6546  3 W 2.44-2.66
W: 0.0000 0.5000 0.5000  6 W 2.66-2.92
W: 0.5000 0.1299 0.3454  3 W 2.44-2.66

Summary:
DFT formation energy (meV/atom): 947.3
DOS(E_F) (states/eV per cell): 3.0
Excess energy over the best structure of this formula in the dataset (meV per atom): 33.7
Uncorrected energy (eV/atom): -9.2483

Entry 2:
First-principles (PBE-GGA) data for an optimized crystal structure of BaW2, as listed in Alexandria via LeMat-Bulk.

Cell: 5.8382 5.8382 9.2871 Å, 90.00 90.00 120.00°
Last column: nearest neighbours and their distance in Å.
Fractional coordinates of all 12 atoms:
Ba: 0.3333 0.6667 0.0596  12 W 3.37-3.42, 4 Ba 3.54-3.55
Ba: 0.6667 0.3333 0.5596  12 W 3.37-3.42, 4 Ba 3.54-3.55
Ba: 0.6667 0.3333 0.9404  12 W 3.37-3.42, 4 Ba 3.54-3.55
Ba: 0.3333 0.6667 0.4404  12 W 3.37-3.42, 4 Ba 3.54-3.55
W: 0.0000 0.0000 0.0000  6 W 2.82
W: 0.0000 0.0000 0.5000  6 W 2.82
W: 0.8413 0.6827 0.2500  6 W 2.78-3.06
W: 0.1587 0.3173 0.7500  6 W 2.78-3.06
W: 0.3173 0.1587 0.2500  6 W 2.78-3.06
W: 0.8413 0.1587 0.2500  6 W 2.78-3.06
W: 0.1587 0.8413 0.7500  6 W 2.78-3.06
W: 0.6827 0.8413 0.7500  6 W 2.78-3.06

Summary:
DFT formation energy (meV/atom): 1143.0
DOS(E_F) (states/eV per cell): 15.3
Excess energy over the best structure of this formula in the dataset (meV per atom): 471.6
Uncorrected energy (eV/atom): -8.1333

Entry 3:
First-principles (PBE-GGA) data for an optimized crystal structure of BaW, as listed in Alexandria via LeMat-Bulk.

Cell: 14.2362 14.2362 3.4073 Å, 90.00 90.00 90.00°
Last column: nearest neighbours and their distance in Å.
Fractional coordinates of all 16 atoms:
Ba: 0.4586 0.7720 0.0000  4 W 3.21-3.45, 2 Ba 3.41
Ba: 0.5414 0.2280 0.0000  4 W 3.21-3.45, 2 Ba 3.41
Ba: 0.2280 0.4586 0.0000  4 W 3.21-3.45, 2 Ba 3.41
Ba: 0.7720 0.5414 0.0000  4 W 3.21-3.45, 2 Ba 3.41
Ba: 0.9586 0.2720 0.5000  4 W 3.21-3.45, 2 Ba 3.41
Ba: 0.0414 0.7280 0.5000  4 W 3.21-3.45, 2 Ba 3.41
Ba: 0.7280 0.9586 0.5000  4 W 3.21-3.45, 2 Ba 3.41
Ba: 0.2720 0.0414 0.5000  4 W 3.21-3.45, 2 Ba 3.41
W: 0.3110 0.2488 0.0000  2 W 2.43
W: 0.6890 0.7512 0.0000  2 W 2.43
W: 0.7512 0.3110 0.0000  2 W 2.43
W: 0.2488 0.6890 0.0000  2 W 2.43
W: 0.8110 0.7488 0.5000  2 W 2.43
W: 0.1890 0.2512 0.5000  2 W 2.43
W: 0.2512 0.8110 0.5000  2 W 2.43
W: 0.7488 0.1890 0.5000  2 W 2.43

Summary:
DFT formation energy (meV/atom): 1374.2
DOS(E_F) (states/eV per cell): 16.9
Excess energy over the best structure of this formula in the dataset (meV per atom): 597.9
Uncorrected energy (eV/atom): -6.0638